Zr3Nb5N12 (PBE-GGA, optimized geometry); formation energy (no corrections) = -0.899 eV/atom; crystal system = cubic; space group = Ia-3d (230)
1.0
-6.3282 6.3282 6.3282
6.3282 -6.3282 6.3282
6.3282 6.3282 -6.3282
Zr Nb N
12 20 48
Direct
0.1250 0.2500 0.3750 Zr
0.1250 0.3750 0.7500 Zr
0.2500 0.3750 0.1250 Zr
0.2500 0.8750 0.6250 Zr
0.3750 0.1250 0.2500 Zr
0.3750 0.7500 0.1250 Zr
0.6250 0.2500 0.8750 Zr
0.6250 0.8750 0.7500 Zr
0.7500 0.1250 0.3750 Zr
0.7500 0.6250 0.8750 Zr
0.8750 0.6250 0.2500 Zr
0.8750 0.7500 0.6250 Zr
0.0000 0.0000 0.0000 Nb
0.0000 0.0000 0.5000 Nb
0.0000 0.5000 0.0000 Nb
0.0000 0.5000 0.5000 Nb
0.1250 0.7500 0.8750 Nb
0.1250 0.8750 0.2500 Nb
0.2500 0.1250 0.8750 Nb
0.2500 0.6250 0.3750 Nb
0.3750 0.2500 0.6250 Nb
0.3750 0.6250 0.7500 Nb
0.5000 0.0000 0.0000 Nb
0.5000 0.0000 0.5000 Nb
0.5000 0.5000 0.0000 Nb
0.5000 0.5000 0.5000 Nb
0.6250 0.3750 0.2500 Nb
0.6250 0.7500 0.3750 Nb
0.7500 0.3750 0.6250 Nb
0.7500 0.8750 0.1250 Nb
0.8750 0.1250 0.7500 Nb
0.8750 0.2500 0.1250 Nb
0.0377 0.2158 0.1254 N
0.0377 0.3220 0.9123 N
0.0877 0.6254 0.4097 N
0.0877 0.9623 0.6780 N
0.0903 0.7158 0.6780 N
0.0903 0.8746 0.4123 N
0.1254 0.0377 0.2158 N
0.1254 0.5877 0.9097 N
0.1780 0.2158 0.5903 N
0.1780 0.4623 0.5877 N
0.2158 0.1254 0.0377 N
0.2158 0.5903 0.1780 N
0.2842 0.3220 0.9097 N
0.2842 0.4623 0.3746 N
0.3220 0.9097 0.2842 N
0.3220 0.9123 0.0377 N
0.3746 0.2842 0.4623 N
0.3746 0.5903 0.9123 N
0.4097 0.0877 0.6254 N
0.4097 0.8220 0.7842 N
0.4123 0.0903 0.8746 N
0.4123 0.8220 0.5377 N
0.4623 0.3746 0.2842 N
0.4623 0.5877 0.1780 N
0.5377 0.4123 0.8220 N
0.5377 0.6254 0.7158 N
0.5877 0.1780 0.4623 N
0.5877 0.9097 0.1254 N
0.5903 0.1780 0.2158 N
0.5903 0.9123 0.3746 N
0.6254 0.4097 0.0877 N
0.6254 0.7158 0.5377 N
0.6780 0.0877 0.9623 N
0.6780 0.0903 0.7158 N
0.7158 0.5377 0.6254 N
0.7158 0.6780 0.0903 N
0.7842 0.4097 0.8220 N
0.7842 0.8746 0.9623 N
0.8220 0.5377 0.4123 N
0.8220 0.7842 0.4097 N
0.8746 0.4123 0.0903 N
0.8746 0.9623 0.7842 N
0.9097 0.1254 0.5877 N
0.9097 0.2842 0.3220 N
0.9123 0.0377 0.3220 N
0.9123 0.3746 0.5903 N
0.9623 0.6780 0.0877 N
0.9623 0.7842 0.8746 N

=====

NaErHgCl6 (PBE-GGA, optimized geometry); formation energy (no corrections) = -1.597 eV/atom; crystal system = trigonal; space group = P-31c (163)
1.0
6.8231 0.0000 0.0000
-3.4116 5.9090 0.0000
0.0000 0.0000 12.6677
Na Er Hg Cl
2 2 2 12
Direct
0.0000 0.0000 0.0000 Na
0.0000 0.0000 0.5000 Na
0.3333 0.6667 0.2500 Er
0.6667 0.3333 0.7500 Er
0.3333 0.6667 0.7500 Hg
0.6667 0.3333 0.2500 Hg
0.0099 0.3579 0.1307 Cl
0.0099 0.6520 0.3693 Cl
0.3480 0.3579 0.3693 Cl
0.3480 0.9901 0.1307 Cl
0.3579 0.0099 0.6307 Cl
0.3579 0.3480 0.8693 Cl
0.6421 0.6520 0.1307 Cl
0.6421 0.9901 0.3693 Cl
0.6520 0.0099 0.8693 Cl
0.6520 0.6421 0.6307 Cl
0.9901 0.3480 0.6307 Cl
0.9901 0.6421 0.8693 Cl

=====

Ho3Er8Th4 (PBE-GGA, optimized geometry); crystal system = monoclinic; space group = C2/m (12); formation energy from the elements = 6.63 eV/f.u.
1.0
6.6474 -6.4254 0.0000
6.6474 6.4254 0.0000
-3.2230 0.0000 5.7413
Ho Er Th
3 8 4
Direct
0.0000 0.0000 0.0000 Ho
0.0000 0.5000 0.0000 Ho
0.5000 0.0000 0.0000 Ho
0.2490 0.7510 0.0000 Er
0.2571 0.2571 0.0010 Er
0.2617 0.2617 0.4919 Er
0.3625 0.6375 0.5000 Er
0.6375 0.3625 0.5000 Er
0.7383 0.7383 0.5081 Er
0.7429 0.7429 0.9990 Er
0.7510 0.2490 0.0000 Er
0.0000 0.0000 0.5000 Th
0.0000 0.5000 0.5000 Th
0.5000 0.0000 0.5000 Th
0.5000 0.5000 0.0000 Th

=====

FeNiAu (PBE-GGA, optimized geometry); crystal system = monoclinic; energy relative to the lowest polymorph listed for this composition = 0.42 eV/f.u.; space group = C2/m (12); formation energy from the elements = 0.60 eV/f.u.
1.0
7.3216 0.0000 0.0000
0.0000 4.2444 0.0000
-0.0339 0.0000 5.3451
Fe Ni Au
4 4 4
Direct
0.1665 0.0000 0.4569 Fe
0.3335 0.5000 0.5431 Fe
0.6665 0.5000 0.4569 Fe
0.8335 0.0000 0.5431 Fe
0.1667 0.0000 0.9511 Ni
0.3333 0.5000 0.0489 Ni
0.6667 0.5000 0.9511 Ni
0.8333 0.0000 0.0489 Ni
0.9998 0.5000 0.2490 Au
0.0002 0.5000 0.7510 Au
0.4998 0.0000 0.2490 Au
0.5002 0.0000 0.7510 Au

=====

BeS2Br (PBE-GGA, optimized geometry); formation energy (no corrections) = -0.068 eV/atom; crystal system = trigonal; energy relative to the lowest polymorph listed for this composition = 0.00 eV/f.u.; space group = R-3m (166)
1.0
3.4357 0.0000 0.0000
-1.7179 2.9754 0.0000
0.0000 0.0000 21.5730
Be S Br
3 6 3
Direct
0.0000 0.0000 0.0000 Be
0.3333 0.6667 0.6667 Be
0.6667 0.3333 0.3333 Be
0.0000 0.0000 0.3871 S
0.0000 0.0000 0.6129 S
0.3333 0.6667 0.0537 S
0.3333 0.6667 0.2796 S
0.6667 0.3333 0.7204 S
0.6667 0.3333 0.9463 S
0.0000 0.0000 0.5000 Br
0.3333 0.6667 0.1667 Br
0.6667 0.3333 0.8333 Br

=====

In2PPb2 (PBE-GGA, optimized geometry); crystal system = tetragonal; energy relative to the lowest polymorph listed for this composition = 0.28 eV/f.u.; space group = P4/mbm (127); formation energy from the elements = 1.27 eV/f.u.
1.0
7.5095 0.0000 0.0000
0.0000 7.5095 0.0000
0.0000 0.0000 5.2766
In P Pb
4 2 4
Direct
0.1610 0.3390 0.0000 In
0.3390 0.8390 0.0000 In
0.6610 0.1610 0.0000 In
0.8390 0.6610 0.0000 In
0.0000 0.0000 0.5000 P
0.5000 0.5000 0.5000 P
0.1542 0.6542 0.5000 Pb
0.3458 0.1542 0.5000 Pb
0.6542 0.8458 0.5000 Pb
0.8458 0.3458 0.5000 Pb

=====

LiReP2 (PBE-GGA, optimized geometry); crystal system = orthorhombic; energy relative to the lowest polymorph listed for this composition = 2.51 eV/f.u.; space group = Cmm2 (35); formation energy from the elements = 1.23 eV/f.u.
1.0
3.1793 0.0000 0.0000
0.0000 4.2429 0.0000
0.0000 0.0000 9.3874
Li Re P
2 2 4
Direct
0.0000 0.0000 0.0000 Li
0.5000 0.5000 0.0000 Li
0.0000 0.5000 0.2521 Re
0.5000 0.0000 0.2521 Re
0.0000 0.0000 0.4468 P
0.0000 0.5000 0.7882 P
0.5000 0.0000 0.7882 P
0.5000 0.5000 0.4468 P

=====

Er3Cu2Ir (PBE-GGA, optimized geometry); crystal system = trigonal; energy relative to the lowest polymorph listed for this composition = 0.00 eV/f.u.; space group = P-3m1 (164); formation energy from the elements = -3.14 eV/f.u.
1.0
4.8342 0.0000 0.0000
-2.4171 4.1866 0.0000
0.0000 0.0000 11.8804
Er Cu Ir
6 4 2
Direct
0.0000 0.0000 0.2461 Er
0.0000 0.0000 0.7539 Er
0.3333 0.6667 0.4122 Er
0.3333 0.6667 0.9158 Er
0.6667 0.3333 0.0842 Er
0.6667 0.3333 0.5878 Er
0.0000 0.0000 0.0000 Cu
0.0000 0.0000 0.5000 Cu
0.3333 0.6667 0.6608 Cu
0.6667 0.3333 0.3392 Cu
0.3333 0.6667 0.1644 Ir
0.6667 0.3333 0.8356 Ir

=====

SmGdAlCo (PBE-GGA, optimized geometry); crystal system = cubic; space group = F-43m (216); formation energy from the elements = -0.60 eV/f.u.
1.0
7.1241 0.0000 0.0000
0.0000 7.1241 0.0000
0.0000 0.0000 7.1241
Sm Gd Al Co
4 4 4 4
Direct
0.0000 0.0000 0.0000 Sm
0.0000 0.5000 0.5000 Sm
0.5000 0.0000 0.5000 Sm
0.5000 0.5000 0.0000 Sm
0.0000 0.0000 0.5000 Gd
0.0000 0.5000 0.0000 Gd
0.5000 0.0000 0.0000 Gd
0.5000 0.5000 0.5000 Gd
0.2500 0.2500 0.2500 Al
0.2500 0.7500 0.7500 Al
0.7500 0.2500 0.7500 Al
0.7500 0.7500 0.2500 Al
0.2500 0.2500 0.7500 Co
0.2500 0.7500 0.2500 Co
0.7500 0.2500 0.2500 Co
0.7500 0.7500 0.7500 Co

=====

Sc7Sn3 (PBE-GGA, optimized geometry); crystal system = monoclinic; space group = C2/m (12); formation energy from the elements = -4.83 eV/f.u.
1.0
8.2319 -2.2953 0.0000
8.2319 2.2953 0.0000
-1.5098 0.0000 6.1100
Sc Sn
7 3
Direct
0.0000 0.0000 0.0000 Sc
0.2078 0.2078 0.6320 Sc
0.3821 0.3821 0.1590 Sc
0.4134 0.4134 0.6804 Sc
0.5866 0.5866 0.3196 Sc
0.6179 0.6179 0.8410 Sc
0.7922 0.7922 0.3680 Sc
0.0000 0.0000 0.5000 Sn
0.1863 0.1863 0.1377 Sn
0.8137 0.8137 0.8623 Sn

=====

Na2SiAgTe4 (PBE-GGA, optimized geometry); formation energy (no corrections) = -0.250 eV/atom; crystal system = orthorhombic; space group = Imma (74)
1.0
-3.9250 4.4715 6.3808
3.9250 -4.4715 6.3808
3.9250 4.4715 -6.3808
Na Si Ag Te
4 2 2 8
Direct
0.0000 0.0000 0.0000 Na
0.5000 0.0000 0.0000 Na
0.5000 0.0000 0.5000 Na
0.5000 0.5000 0.5000 Na
0.0000 0.0000 0.5000 Si
0.0000 0.5000 0.0000 Si
0.0000 0.5000 0.5000 Ag
0.5000 0.5000 0.0000 Ag
0.2040 0.2379 0.9661 Te
0.2247 0.2538 0.5291 Te
0.2247 0.6955 0.9709 Te
0.2281 0.7621 0.4661 Te
0.7719 0.2379 0.5339 Te
0.7753 0.3045 0.0291 Te
0.7753 0.7462 0.4709 Te
0.7960 0.7621 0.0339 Te

=====

Rb2TcPbO6 (PBE-GGA, optimized geometry); formation energy (no corrections) = -1.285 eV/atom; crystal system = cubic; space group = Fm-3m (225)
1.0
0.0000 4.2824 4.2824
4.2824 0.0000 4.2824
4.2824 4.2824 0.0000
Rb Tc Pb O
2 1 1 6
Direct
0.2500 0.2500 0.2500 Rb
0.7500 0.7500 0.7500 Rb
0.0000 0.0000 0.0000 Tc
0.5000 0.5000 0.5000 Pb
0.2227 0.2227 0.7773 O
0.2227 0.7773 0.2227 O
0.2227 0.7773 0.7773 O
0.7773 0.2227 0.2227 O
0.7773 0.2227 0.7773 O
0.7773 0.7773 0.2227 O

=====

Nb2Zn2Pt (PBE-GGA, optimized geometry); crystal system = tetragonal; space group = P4/mbm (127); formation energy from the elements = -0.83 eV/f.u.
1.0
6.4841 0.0000 0.0000
0.0000 6.4841 0.0000
0.0000 0.0000 3.8423
Nb Zn Pt
4 4 2
Direct
0.1697 0.3303 0.0000 Nb
0.3303 0.8303 0.0000 Nb
0.6697 0.1697 0.0000 Nb
0.8303 0.6697 0.0000 Nb
0.1316 0.6316 0.5000 Zn
0.3684 0.1316 0.5000 Zn
0.6316 0.8684 0.5000 Zn
0.8684 0.3684 0.5000 Zn
0.0000 0.0000 0.5000 Pt
0.5000 0.5000 0.5000 Pt

=====

NdSc2In (PBE-GGA, optimized geometry); crystal system = tetragonal; energy relative to the lowest polymorph listed for this composition = 0.13 eV/f.u.; space group = P4/mmm (123); formation energy from the elements = -0.85 eV/f.u.
1.0
3.4578 0.0000 0.0000
0.0000 3.4578 0.0000
0.0000 0.0000 8.7183
Nd Sc In
1 2 1
Direct
0.0000 0.0000 0.0000 Nd
0.5000 0.5000 0.2802 Sc
0.5000 0.5000 0.7198 Sc
0.0000 0.0000 0.5000 In

=====

Mg3Cd12In (PBE-GGA, optimized geometry); crystal system = tetragonal; space group = P4/mmm (123); formation energy from the elements = -0.64 eV/f.u.
1.0
4.4976 0.0000 0.0000
0.0000 4.4976 0.0000
0.0000 0.0000 17.7374
Mg Cd In
3 12 1
Direct
0.0000 0.0000 0.0000 Mg
0.0000 0.0000 0.2466 Mg
0.0000 0.0000 0.7534 Mg
0.0000 0.5000 0.1233 Cd
0.0000 0.5000 0.3694 Cd
0.0000 0.5000 0.6306 Cd
0.0000 0.5000 0.8767 Cd
0.5000 0.0000 0.1233 Cd
0.5000 0.0000 0.3694 Cd
0.5000 0.0000 0.6306 Cd
0.5000 0.0000 0.8767 Cd
0.5000 0.5000 0.0000 Cd
0.5000 0.5000 0.2464 Cd
0.5000 0.5000 0.5000 Cd
0.5000 0.5000 0.7536 Cd
0.0000 0.0000 0.5000 In

=====

MnReSi (PBE-GGA, optimized geometry); formation energy (no corrections) = -0.261 eV/atom; crystal system = tetragonal; space group = I4mm (107)
1.0
2.8411 0.0000 0.0000
0.0000 2.8411 0.0000
0.0000 0.0000 9.1408
Mn Re Si
2 2 2
Direct
0.0000 0.0000 0.0000 Mn
0.5000 0.5000 0.5000 Mn
0.0000 0.0000 0.6790 Re
0.5000 0.5000 0.1790 Re
0.0000 0.0000 0.3571 Si
0.5000 0.5000 0.8571 Si

=====

RbSiSnH2 (PBE-GGA, optimized geometry); crystal system = tetragonal; DFT total energy = -0.1007 Ha/atom; space group = P4/mmm (123)
1.0
4.5584 0.0000 0.0000
0.0000 4.5584 0.0000
0.0000 0.0000 5.2751
Rb Si Sn H
1 1 1 2
Direct
0.0000 0.0000 0.0000 Rb
0.5000 0.5000 0.5000 Si
0.5000 0.5000 0.0000 Sn
0.0000 0.5000 0.5000 H
0.5000 0.0000 0.5000 H

=====

ZrBI2O (PBE-GGA, optimized geometry); formation energy (no corrections) = 0.195 eV/atom; crystal system = tetragonal; energy relative to the lowest polymorph listed for this composition = 1.72 eV/f.u.; space group = P4/mmm (123)
1.0
5.5080 0.0000 0.0000
0.0000 5.5080 0.0000
0.0000 0.0000 3.2349
Zr B I O
1 1 2 1
Direct
0.0000 0.0000 0.0000 Zr
0.5000 0.5000 0.5000 B
0.0000 0.5000 0.5000 I
0.5000 0.0000 0.5000 I
0.5000 0.5000 0.0000 O

=====

Tm5In2Ni2 (PBE-GGA, optimized geometry); crystal system = orthorhombic; space group = Cmce (64); formation energy from the elements = -3.39 eV/f.u.
1.0
8.1794 -3.7671 0.0000
8.1794 3.7671 0.0000
0.0000 0.0000 7.0462
Tm In Ni
10 4 4
Direct
0.0000 0.0000 0.0000 Tm
0.0650 0.7041 0.6694 Tm
0.2041 0.5650 0.1694 Tm
0.2959 0.9350 0.6694 Tm
0.4350 0.7959 0.1694 Tm
0.5000 0.5000 0.5000 Tm
0.5650 0.2041 0.8306 Tm
0.7041 0.0650 0.3306 Tm
0.7959 0.4350 0.8306 Tm
0.9350 0.2959 0.3306 Tm
0.2266 0.2266 0.0000 In
0.2734 0.2734 0.5000 In
0.7266 0.7266 0.5000 In
0.7734 0.7734 0.0000 In
0.1246 0.8754 0.3790 Ni
0.3754 0.6246 0.8790 Ni
0.6246 0.3754 0.1210 Ni
0.8754 0.1246 0.6210 Ni

=====

| no. | total magnetic moment (μB per atom) |
| --- | --- |
| 1 | 0.000 |
| 2 | 0.000 |
| 3 | 0.000 |
| 4 | 1.137 |
| 5 | 0.000 |
| 6 | 0.000 |
| 7 | 0.000 |
| 8 | 0.000 |
| 9 | 1.520 |
| 10 | 0.187 |
| 11 | 0.000 |
| 12 | 0.000 |
| 13 | 0.000 |
| 14 | 0.000 |
| 15 | 0.000 |
| 16 | 0.000 |
| 17 | 0.000 |
| 18 | 0.000 |
| 19 | 0.000 |